[1]
Al2FeRuPt | PBE-GGA | relaxed

- space group = P4/mmm
- ρ (Mg/m³) = 7.509
- DOS(E_F) (states/eV per atom) = 1.03
- E_form (eV/f.u.) = 3.40
- spin magnetization (μB per formula unit) = 0.0

a = 4.5519 Å, b = 4.5519 Å, c = 4.3328 Å
α = 90.00°, β = 90.00°, γ = 90.00°
Closest atoms and distances in Å follow each position.
Atoms (fractional coordinates):
Al 0.0000 0.5000 0.0000  2 Ru 2.28
Al 0.5000 0.0000 0.0000  2 Ru 2.28
Fe 0.0000 0.0000 0.5000  2 Ru 2.17
Ru 0.0000 0.0000 0.0000  2 Fe 2.17, 4 Al 2.28
Pt 0.5000 0.5000 0.5000  8 Al 3.14, 4 Fe 3.22

[2]
AlFe2PtS | PBE-GGA | relaxed

- space group = P4/mmm
- ρ (Mg/m³) = 6.704
- DOS(E_F) (states/eV per atom) = 1.26
- spin magnetization (μB per formula unit) = 5.2
- ΔE_f (raw) (kJ/mol of formula units) = 484

a = 4.4838 Å, b = 4.4838 Å, c = 4.5074 Å
α = 90.00°, β = 90.00°, γ = 90.00°
Closest atoms and distances in Å follow each position.
Atoms (fractional coordinates):
Al 0.0000 0.0000 0.0000  4 Fe 2.24, 2 Pt 2.25
Fe 0.0000 0.5000 0.0000  2 Al 2.24
Fe 0.5000 0.0000 0.0000  2 Al 2.24
Pt 0.0000 0.0000 0.5000  2 Al 2.25
S 0.5000 0.5000 0.5000  4 Pt 3.17, 8 Fe 3.18

[3]
AlFeTcPt | PBE-GGA | relaxed

- space group = F-43m
- ρ (Mg/m³) = 11.149
- DOS(E_F) (states/eV per atom) = 0.71
- E_form (eV/f.u.) = -1.50
- spin magnetization (μB per formula unit) = 3.8

a = 4.2941 Å, b = 4.2941 Å, c = 4.2941 Å
α = 60.00°, β = 60.00°, γ = 60.00°
Closest atoms and distances in Å follow each position.
Atoms (fractional coordinates):
Al 0.0000 0.0000 0.0000  4 Tc 2.63, 4 Pt 2.63
Fe 0.5000 0.5000 0.5000  4 Tc 2.63, 4 Pt 2.63
Tc 0.7500 0.7500 0.7500  4 Al 2.63, 4 Fe 2.63
Pt 0.2500 0.2500 0.2500  4 Fe 2.63, 4 Al 2.63

[4]
TiAlFePt2 | PBE-GGA | relaxed

- space group = P4/mmm
- ρ (Mg/m³) = 9.559
- DOS(E_F) (states/eV per atom) = 0.97
- E_form (eV/f.u.) = 1.74
- spin magnetization (μB per formula unit) = 1.5

a = 4.7237 Å, b = 4.7237 Å, c = 4.0553 Å
α = 90.00°, β = 90.00°, γ = 90.00°
Closest atoms and distances in Å follow each position.
Atoms (fractional coordinates):
Ti 0.0000 0.0000 0.0000  2 Fe 2.03
Al 0.5000 0.5000 0.0000  8 Pt 3.11, 4 Ti 3.34
Fe 0.0000 0.0000 0.5000  2 Ti 2.03
Pt 0.0000 0.5000 0.5000  2 Fe 2.36
Pt 0.5000 0.0000 0.5000  2 Fe 2.36

[5]
ZrAlFePt | PBE-GGA | relaxed

- space group = F-43m
- ρ (Mg/m³) = 9.785
- DOS(E_F) (states/eV per atom) = 0.55
- E_form (eV/f.u.) = -2.56
- spin magnetization (μB per formula unit) = 1.0

a = 4.4579 Å, b = 4.4579 Å, c = 4.4579 Å
α = 60.00°, β = 60.00°, γ = 60.00°
Closest atoms and distances in Å follow each position.
Atoms (fractional coordinates):
Zr 0.0000 0.0000 0.0000  4 Pt 2.73, 4 Fe 2.73
Al 0.5000 0.5000 0.5000  4 Fe 2.73, 4 Pt 2.73
Fe 0.2500 0.2500 0.2500  4 Al 2.73, 4 Zr 2.73
Pt 0.7500 0.7500 0.7500  4 Al 2.73, 4 Zr 2.73

[6]
Pu2AlFe2 | PBE-GGA | relaxed

- space group = Immm
- ρ (Mg/m³) = 11.568
- DOS(E_F) (states/eV per atom) = 2.21
- E_form (eV/f.u.) = -0.63
- spin magnetization (μB per formula unit) = 7.1

a = 5.1268 Å, b = 5.1268 Å, c = 5.1268 Å
α = 129.48°, β = 114.90°, γ = 86.74°
Closest atoms and distances in Å follow each position.
Atoms (fractional coordinates):
Pu 0.1988 0.1988 0.0000  2 Fe 2.62
Pu 0.8012 0.8012 0.0000  2 Fe 2.62
Al 0.5000 0.0000 0.5000  4 Fe 2.57
Fe 0.2546 0.5000 0.7546  2 Al 2.57, 2 Pu 2.62, 2 Fe 2.71-2.81
Fe 0.7454 0.5000 0.2454  2 Al 2.57, 2 Pu 2.62, 2 Fe 2.71-2.81

What is the formula in the second record? AlFe2PtS